! PBE AcY6Ho2Er, optimized geometry; values from VASP
&SYSTEM
  ibrav = 0, nat = 20, ntyp = 4
/
ATOMIC_SPECIES
Ac 227.00 Ac.upf
Y 88.91 Y.upf
Ho 164.93 Ho.upf
Er 167.26 Er.upf
ATOMIC_POSITIONS crystal
Ac 0.031 0.969 0.750
Ac 0.969 0.031 0.250
Y 0.008 0.554 0.682
Y 0.128 0.756 0.057
Y 0.244 0.872 0.443
Y 0.288 0.512 0.888
Y 0.446 0.992 0.818
Y 0.488 0.712 0.612
Y 0.512 0.288 0.388
Y 0.554 0.008 0.182
Y 0.712 0.488 0.112
Y 0.756 0.128 0.557
Y 0.872 0.244 0.943
Y 0.992 0.446 0.318
Ho 0.204 0.315 0.552
Ho 0.315 0.204 0.052
Ho 0.685 0.796 0.948
Ho 0.796 0.685 0.448
Er 0.414 0.586 0.250
Er 0.586 0.414 0.750
CELL_PARAMETERS angstrom
4.648 -7.621 0.000
4.648 7.621 0.000
-0.812 0.000 9.476
! **Magnetic moment**: 0.00 μB per cell
! **Crystal system**: monoclinic
! **DFT formation energy**: 128 meV per atom

! PBE SrYSc2, optimized geometry; values from VASP
&SYSTEM
  ibrav = 0, nat = 4, ntyp = 3
/
ATOMIC_SPECIES
Sr 87.62 Sr.upf
Y 88.91 Y.upf
Sc 44.96 Sc.upf
ATOMIC_POSITIONS crystal
Sr 0.000 0.000 0.000
Y 0.250 0.250 0.250
Sc 0.500 0.500 0.500
Sc 0.750 0.750 0.750
CELL_PARAMETERS angstrom
0.000 3.974 3.974
3.974 0.000 3.974
3.974 3.974 0.000
! **Magnetic moment**: 1.21 μB per cell
! **Crystal system**: cubic
! **Distance to the lowest polymorph of the same formula**: 181 meV/atom
! **DFT formation energy**: 330 meV per atom